(1)
DFT (PBE) results for a relaxed structure of Zr3GeI.

Cell: 5.132 5.132 5.132 Å, 90.00 90.00 90.00°
Space group Pm-3m (No. 221)
Symmetry-distinct sites (fractional):
Zr 0.000 0.000 0.500
Ge 0.000 0.000 0.000
I 0.500 0.500 0.500

Values from the calculation:
Formation energy without anion corrections ... 41.17 kJ per mole of atoms
Energy above the lowest structure with this stoichiometry ... 0.0000 eV per atom
V ... 27.0 A^3/atom
Total energy ... -5.936 eV/atom



(2)
DFT (PBE) results for a relaxed structure of Pm6Ru2PtBr3.

Cell: 7.101 12.302 8.157 Å, 90.00 106.83 90.00°
Space group C2/m (No. 12)
Symmetry-distinct sites (fractional):
Pm 0.220 0.000 0.196
Pm 0.238 0.327 0.197
Ru 0.000 0.167 0.000
Pt 0.000 0.500 0.000
Br 0.000 0.000 0.500
Br 0.000 0.331 0.500

Values from the calculation:
Formation energy without anion corrections ... -93.27 kJ per mole of atoms
V ... 28.4 A^3/atom
Total energy ... -5.810 eV/atom



(3)
DFT (PBE) results for a relaxed structure of CaFeSe.

Cell: 3.901 10.757 5.498 Å, 90.00 90.00 90.00°
Space group Cmcm (No. 63)
Symmetry-distinct sites (fractional):
Ca 0.000 0.189 0.250
Fe 0.000 0.500 0.000
Se 0.000 0.097 0.750

Values from the calculation:
Formation energy without anion corrections ... -52.51 kJ per mole of atoms
Energy above the lowest structure with this stoichiometry ... 0.0309 eV per atom
V ... 19.2 A^3/atom
Total energy ... -5.194 eV/atom



(4)
DFT (PBE) results for a relaxed structure of AcNd5Er3.

Cell: 15.408 10.112 9.174 Å, 90.00 119.58 90.00°
Space group C2/c (No. 15)
Symmetry-distinct sites (fractional):
Ac 0.000 0.096 0.250
Nd 0.000 0.440 0.250
Nd 0.165 0.108 0.071
Nd 0.178 0.431 0.104
Er 0.084 0.253 0.663
Er 0.250 0.250 0.500

Values from the calculation:
E_form ... 78 meV per atom
V ... 34.5 A^3/atom
Total energy ... -4.548 eV/atom



(5)
DFT (PBE) results for a relaxed structure of NpInGa2.

Cell: 4.508 4.508 4.195 Å, 90.00 90.00 90.00°
Space group P4/mmm (No. 123)
Symmetry-distinct sites (fractional):
Np 0.000 0.000 0.000
In 0.500 0.500 0.000
Ga 0.000 0.500 0.500

Values from the calculation:
E_form ... -108 meV per atom
Energy above the lowest structure with this stoichiometry ... 0.0000 eV per atom
V ... 21.3 A^3/atom
Total energy ... -5.541 eV/atom



(6)
DFT (PBE) results for a relaxed structure of ReTcPt2.

Cell: 5.617 5.617 11.321 Å, 90.00 90.00 90.00°
Space group I-42d (No. 122)
Symmetry-distinct sites (fractional):
Re 0.000 0.000 0.000
Tc 0.000 0.000 0.500
Pt 0.249 0.250 0.125

Values from the calculation:
E_form ... 1063 meV per atom
Energy above the lowest structure with this stoichiometry ... 1.2009 eV per atom
V ... 22.3 A^3/atom
Total energy ... -7.661 eV/atom



(7)
DFT (PBE) results for a relaxed structure of LaPH2.

Cell: 4.188 4.188 13.427 Å, 90.00 90.00 90.00°
Space group I-42d (No. 122)
Symmetry-distinct sites (fractional):
La 0.000 0.000 0.000
P 0.000 0.000 0.500
H 0.175 0.250 0.625

Values from the calculation:
Energy above the lowest structure with this stoichiometry ... 0.2017 eV per atom
V ... 14.7 A^3/atom
Total energy ... -4.498 eV/atom



(8)
DFT (PBE) results for a relaxed structure of ScCl.

Cell: 10.273 10.273 3.535 Å, 90.00 90.00 90.00°
Space group I4/m (No. 87)
Symmetry-distinct sites (fractional):
Sc 0.100 0.352 0.000
Cl 0.110 0.793 0.000

Values from the calculation:
Formation energy without anion corrections ... -125.38 kJ per mole of atoms
V ... 23.3 A^3/atom
Total energy ... -5.389 eV/atom



(9)
DFT (PBE) results for a relaxed structure of PmHoHg.

Cell: 8.8834 8.8834 3.7807 Å, 90.00 90.00 120.00°
Space group P-62m (No. 189)
Symmetry-distinct sites (fractional):
Pm 0.0000 0.6084 0.0000
Ho 0.0000 0.2744 0.5000
Hg 0.0000 0.0000 0.0000
Hg 0.3333 0.6667 0.5000

Values from the calculation:
E_form ... -284 meV per atom
Energy above the lowest structure with this stoichiometry ... 0.0184 eV per atom
V ... 28.7 A^3/atom
Total energy ... -3.494 eV/atom



(10)
DFT (PBE) results for a relaxed structure of U2MnSe.

Cell: 3.8115 3.8115 20.4172 Å, 90.00 90.00 120.00°
Space group R-3m (No. 166, hexagonal axes)
Symmetry-distinct sites (fractional):
U 0.0000 0.0000 0.2365
Mn 0.0000 0.0000 0.5000
Se 0.0000 0.0000 0.0000

Values from the calculation:
Formation energy without anion corrections ... -23.65 kJ per mole of atoms
V ... 21.4 A^3/atom
Total energy ... -9.053 eV/atom



(11)
DFT (PBE) results for a relaxed structure of AcTcP2N6.

Cell: 9.335 10.750 4.958 Å, 90.00 97.60 90.00°
Space group C2/c (No. 15)
Symmetry-distinct sites (fractional):
Ac 0.000 0.107 0.250
Tc 0.000 0.289 0.750
P 0.203 0.424 0.262
N 0.093 0.322 0.097
N 0.132 0.124 0.746
N 0.179 0.440 0.595

Values from the calculation:
Formation energy without anion corrections ... -26.90 kJ per mole of atoms
V ... 12.3 A^3/atom
Total energy ... -7.803 eV/atom



(12)
DFT (PBE) results for a relaxed structure of NdHoTm2Se4.

Cell: 7.027 4.008 7.203 Å, 90.00 108.55 90.00°
Space group P2/m (No. 10)
Symmetry-distinct sites (fractional):
Nd 0.000 0.000 0.000
Ho 0.500 0.500 0.000
Tm 0.000 0.500 0.500
Tm 0.500 0.000 0.500
Se 0.253 0.000 0.740
Se 0.262 0.500 0.265

Values from the calculation:
Formation energy without anion corrections ... -165.66 kJ per mole of atoms
V ... 24.0 A^3/atom
Total energy ... -5.745 eV/atom